# 1
Material: RbY3Br
Method: DFT, PBE
State: relaxed

Computed properties:
- space-group type = Pm-3m, No. 221
- energy above the lowest structure with this stoichiometry (kcal/mol of atoms) = 25.67
- total magnetic moment (μB/cell) = 0.0

Structure (POSCAR):
```
RbY3Br
1.0
-3.7903 -2.6038 3.3853
3.5844 -4.4004 0.6286
2.3222 2.5423 4.5553
Y Br Rb
3 1 1
Direct
0.0000 0.5000 0.0000
0.0000 0.0000 0.5000
0.5000 0.0000 0.0000
0.5000 0.5000 0.5000
0.0000 0.0000 0.0000
```

***

# 2
Material: RbY3Br
Method: DFT, PBE
State: relaxed

Computed properties:
- space-group type = Pm-3m, No. 221
- energy above the lowest structure with this stoichiometry (kcal/mol of atoms) = 0.00
- total magnetic moment (μB/cell) = 0.0

Structure (POSCAR):
```
RbY3Br
1.0
-1.6298 -3.6681 3.9963
3.2828 -3.9889 -2.3224
4.3184 1.6479 3.2738
Y Br Rb
3 1 1
Direct
0.0000 0.5000 0.0000
0.0000 0.0000 0.5000
0.5000 0.0000 0.0000
0.0000 0.0000 0.0000
0.5000 0.5000 0.5000
```

***

# 3
Material: RbY2Br7
Method: DFT, PBE
State: relaxed

Computed properties:
- space-group type = Cmmm, No. 65
- uncorrected energy (eV per atom) = -4.38
- total magnetic moment (μB/cell) = 0.0

Structure (POSCAR):
```
RbY2Br7
1.0
-0.1438 -0.7059 -5.5625
8.9751 -0.9160 -0.1157
-5.2076 -6.7144 0.9867
Rb Y Br
1 2 7
Direct
0.0000 0.0000 0.0000
0.5000 0.3024 0.6049
0.5000 0.6976 0.3951
0.0000 0.2968 0.5935
0.0000 0.7032 0.4065
0.5000 0.3270 0.2785
0.5000 0.6730 0.7215
0.5000 0.0485 0.7215
0.5000 0.9515 0.2785
0.5000 0.5000 0.0000
```

***

# 4
Material: Rb2YBr
Method: DFT, PBE
State: relaxed

Computed properties:
- space-group type = Fm-3m, No. 225
- energy above the lowest structure with this stoichiometry (kcal/mol of atoms) = 6.77
- total magnetic moment (μB/cell) = 2.0

Structure (POSCAR):
```
Rb2YBr
1.0
-2.9658 -4.9465 -3.3653
-5.7944 1.0978 -3.1318
-0.2112 0.1589 -6.6722
Y Br Rb
1 1 2
Direct
0.5000 0.5000 0.5000
0.0000 0.0000 0.0000
0.2500 0.2500 0.2500
0.7500 0.7500 0.7500
```

***

# 5
Material: Rb2YBr6
Method: DFT, PBE
State: relaxed

Computed properties:
- space-group type = Amm2, No. 38
- uncorrected energy (eV per atom) = -3.54
- total magnetic moment (μB/cell) = 1.1

Structure (POSCAR):
```
Rb2YBr6
1.0
4.5377 0.0000 0.0000
0.0000 8.7997 0.0000
0.0000 -4.3998 7.6350
Rb Y Br
2 1 6
Direct
0.0000 0.3327 0.6662
0.0000 0.6665 0.3338
0.5000 0.0005 0.0000
0.5000 0.6553 0.0000
0.5000 0.3450 0.3454
0.5000 0.9995 0.6546
0.0000 0.2298 0.0000
0.0000 0.7709 0.7711
0.0000 0.9998 0.2289
```

***

# 6
Material: Rb2YBr4
Method: DFT, PBE
State: relaxed

Computed properties:
- space-group type = I4/mmm, No. 139
- uncorrected energy (eV per atom) = -3.77
- total magnetic moment (μB/cell) = 0.5

Structure (POSCAR):
```
Rb2YBr4
1.0
-4.9117 -1.2835 2.4565
2.7416 -1.5168 4.6893
-1.7173 6.8084 6.5976
Y Br Rb
1 4 2
Direct
0.0000 0.0000 0.0000
0.8357 0.8357 0.3286
0.1643 0.1643 0.6714
0.0000 0.5000 0.0000
0.5000 0.0000 0.0000
0.6401 0.6401 0.7198
0.3599 0.3599 0.2802
```

***

# 7
Material: RbYZnBr6
Method: DFT, PBE
State: relaxed

Computed properties:
- space-group type = P312, No. 149
- uncorrected energy (eV per atom) = -3.58
- total magnetic moment (μB/cell) = 0.0

Structure (POSCAR):
```
RbYZnBr6
1.0
-3.9200 5.9429 0.1938
-2.1786 3.0296 -6.0661
-6.4317 -4.2481 0.1888
Rb Y Zn Br
1 1 1 6
Direct
0.0000 0.0000 0.0000
0.6666 0.6666 0.5000
0.3333 0.3334 0.5000
0.0158 0.3658 0.2954
0.3658 0.0159 0.7046
0.6183 0.3659 0.7046
0.0157 0.6184 0.7045
0.3659 0.6184 0.2954
0.6184 0.0157 0.2955
```

***

# 8
Material: Rb2YZnBr6
Method: DFT, PBE
State: relaxed

Computed properties:
- space-group type = I4/mmm, No. 139
- uncorrected energy (eV per atom) = -3.43
- total magnetic moment (μB/cell) = 0.0

Structure (POSCAR):
```
Rb2YZnBr6
1.0
8.0356 0.0000 0.0000
0.0000 8.0356 0.0000
4.0178 4.0178 5.6547
Y Zn Br Rb
1 1 6 2
Direct
0.0000 0.0000 0.0000
0.5000 0.5000 0.0000
0.2481 0.2481 0.5037
0.7519 0.7519 0.4963
0.2468 0.2468 0.0000
0.7532 0.7532 0.0000
0.7532 0.2468 0.0000
0.2468 0.7532 0.0000
0.7500 0.2500 0.5000
0.2500 0.7500 0.5000
```

***

# 9
Material: Rb2YZrBr6
Method: DFT, PBE
State: relaxed

Computed properties:
- space-group type = Fm-3m, No. 225
- uncorrected energy (eV per atom) = -4.10
- total magnetic moment (μB/cell) = 2.9

Structure (POSCAR):
```
Rb2YZrBr6
1.0
-0.4851 -2.6529 7.4588
-3.9980 -6.3677 -2.5249
2.5907 -7.2784 1.7967
Y Br Rb Zr
1 6 2 1
Direct
0.5000 0.5000 0.0000
0.2493 0.2493 0.5014
0.7507 0.7507 0.4986
0.2493 0.2493 0.0000
0.7507 0.7507 0.0000
0.7507 0.2493 0.0000
0.2493 0.7507 0.0000
0.7500 0.2500 0.5000
0.2500 0.7500 0.5000
0.0000 0.0000 0.0000
```

***

# 10
Material: Rb3ZnBr6
Method: DFT, PBE
State: relaxed

Computed properties:
- space-group type = Fm-3m, No. 225
- energy above the lowest structure with this stoichiometry (kcal/mol of atoms) = 3.54
- total magnetic moment (μB/cell) = 1.0

Structure (POSCAR):
```
Rb3ZnBr6
1.0
-2.2678 0.3136 7.9424
-3.6747 -7.3651 -0.7584
2.0133 -6.1700 5.1197
Zn Br Rb
1 6 3
Direct
0.5000 0.5000 0.0000
0.2770 0.2770 0.4461
0.7230 0.7230 0.5539
0.2770 0.2770 0.0000
0.7230 0.7230 0.0000
0.7230 0.2770 0.0000
0.2770 0.7230 0.0000
0.7500 0.2500 0.5000
0.2500 0.7500 0.5000
0.0000 0.0000 0.0000
```

***

# 11
Material: Rb12Zn3Br5
Method: DFT, PBE
State: relaxed

Computed properties:
- space-group type = Ia-3d, No. 230
- uncorrected energy (eV per atom) = -1.88
- total magnetic moment (μB/cell) = 7.1

Structure (POSCAR):
```
Rb12Zn3Br5
1.0
18.4097 0.0000 0.0000
-6.1366 17.3569 0.0000
-6.1366 -8.6784 15.0315
Zn Br Rb
12 20 48
Direct
0.7500 0.3750 0.1250
0.8750 0.7500 0.1250
0.3750 0.7500 0.6250
0.2500 0.1250 0.3750
0.8750 0.1250 0.2500
0.3750 0.6250 0.2500
0.6250 0.3750 0.7500
0.1250 0.8750 0.7500
0.7500 0.8750 0.6250
0.6250 0.2500 0.3750
0.1250 0.2500 0.8750
0.2500 0.6250 0.8750
0.1250 0.3750 0.2500
0.0000 0.5000 0.0000
0.0000 0.0000 0.0000
0.3750 0.2500 0.1250
0.5000 0.0000 0.5000
0.5000 0.5000 0.0000
0.1250 0.7500 0.3750
0.7500 0.1250 0.8750
0.7500 0.6250 0.3750
0.3750 0.1250 0.7500
0.6250 0.8750 0.2500
0.5000 0.5000 0.5000
0.5000 0.0000 0.0000
0.0000 0.0000 0.5000
0.2500 0.3750 0.6250
0.2500 0.8750 0.1250
0.0000 0.5000 0.5000
0.8750 0.2500 0.6250
0.6250 0.7500 0.8750
0.8750 0.6250 0.7500
0.7144 0.1288 0.0413
0.3269 0.5413 0.4125
0.9587 0.3712 0.2856
0.5413 0.2144 0.1288
0.5856 0.7144 0.6731
0.9587 0.5875 0.1731
0.3269 0.7856 0.4144
0.0875 0.9144 0.1288
0.5875 0.9587 0.6731
0.7144 0.5856 0.1731
0.7856 0.4587 0.3712
0.8269 0.9125 0.0413
0.1288 0.7144 0.5413
0.3712 0.4125 0.0856
0.0856 0.9125 0.3712
0.4144 0.1288 0.5875
0.0856 0.1731 0.2144
0.4587 0.6731 0.0875
0.8269 0.9144 0.2856
0.1288 0.4144 0.0875
0.3712 0.9587 0.7856
0.5875 0.6288 0.4144
0.9125 0.8269 0.5413
0.7856 0.3269 0.9144
0.4125 0.3712 0.5856
0.0875 0.1731 0.4587
0.2144 0.6731 0.0856
0.1731 0.0856 0.7144
0.6288 0.0413 0.2144
0.8712 0.5856 0.9125
0.5413 0.3269 0.9125
0.5856 0.8712 0.4125
0.9144 0.8269 0.7856
0.9144 0.0875 0.6288
0.8712 0.2856 0.4587
0.1731 0.0875 0.9587
0.6288 0.5875 0.9144
0.4125 0.0413 0.3269
0.2856 0.4144 0.8269
0.2144 0.5413 0.6288
0.9125 0.0856 0.8712
0.6731 0.2144 0.5856
0.4587 0.7856 0.8712
0.0413 0.4125 0.8269
0.4144 0.2856 0.3269
0.0413 0.6288 0.7144
0.6731 0.4587 0.5875
0.2856 0.8712 0.9587
```

***

# 12
Material: Rb3ZnBr5
Method: DFT, PBE
State: relaxed

Computed properties:
- space-group type = Pnma, No. 62
- energy above the lowest structure with this stoichiometry (kcal/mol of atoms) = 0.00
- total magnetic moment (μB/cell) = 0.4

Structure (POSCAR):
```
Rb3ZnBr5
1.0
-3.5660 -1.5165 8.4935
9.7321 0.6647 4.2047
-1.6718 13.5798 1.7227
Rb Zn Br
12 4 20
Direct
0.9054 0.0207 0.6726
0.5946 0.9793 0.1726
0.5946 0.5207 0.1726
0.0946 0.5207 0.3274
0.0946 0.9793 0.3274
0.4054 0.0207 0.8274
0.5861 0.7500 0.4542
0.9139 0.2500 0.9542
0.0861 0.7500 0.0458
0.4139 0.2500 0.5458
0.4054 0.4793 0.8274
0.9054 0.4793 0.6726
0.6894 0.7500 0.8932
0.3106 0.2500 0.1068
0.1894 0.7500 0.6068
0.8106 0.2500 0.3932
0.6549 0.2500 0.7358
0.3151 0.5589 0.5620
0.8631 0.2500 0.2210
0.8451 0.7500 0.2358
0.6369 0.7500 0.7210
0.6849 0.4411 0.4380
0.8151 0.5589 0.9380
0.5342 0.2500 0.0136
0.9658 0.7500 0.5136
0.1549 0.2500 0.7642
0.8151 0.9411 0.9380
0.3151 0.9411 0.5620
0.3451 0.7500 0.2642
0.1849 0.0589 0.0620
0.6849 0.0589 0.4380
0.1369 0.7500 0.7790
0.3631 0.2500 0.2790
0.0342 0.2500 0.4864
0.1849 0.4411 0.0620
0.4658 0.7500 0.9864
```

***

no.,DOS at the Fermi energy (states/eV/cell)
1,5.48
2,8.58
3,0.00
4,6.78
5,9.71
6,3.45
7,0.00
8,6.25
9,1.79
10,7.90
11,60.12
12,0.00